Entry 1:
Crystalline Ba3Li at its relaxed geometry. Source: Alexandria via LeMat-Bulk, functional PBE.

```
Ba3Li
1.0
7.5697 0.0000 0.0000
0.0000 7.5697 0.0000
0.0000 0.0000 7.5697
Ba Li
6 2
Direct
0.0000 0.2500 0.5000
0.0000 0.7500 0.5000
0.2500 0.5000 0.0000
0.5000 0.0000 0.2500
0.5000 0.0000 0.7500
0.7500 0.5000 0.0000
0.0000 0.0000 0.0000
0.5000 0.5000 0.5000
```

Properties
total DFT energy (no corrections)	-14.4	eV/cell
D(E_F)	1.238	states/eV/atom
ΔE_f	0.50	eV/f.u.

Entry 2:
Crystalline BaLi3 at its relaxed geometry. Source: Alexandria via LeMat-Bulk, functional PBE.

```
BaLi3
1.0
7.3985 0.0000 0.0000
0.0000 7.3985 0.0000
0.0000 0.0000 7.3985
Ba Li
1 3
Direct
0.0000 0.0000 0.0000
0.0000 0.0000 0.5000
0.0000 0.5000 0.0000
0.5000 0.0000 0.0000
```

Properties
total DFT energy (no corrections)	-3.5	eV/cell
D(E_F)	1.572	states/eV/atom
ΔE_f	4.20	eV/f.u.

Entry 3:
Crystalline BaLi5 at its relaxed geometry. Source: Alexandria via LeMat-Bulk, functional PBE.

```
BaLi5
1.0
0.0000 4.3692 4.3692
4.3692 0.0000 4.3692
4.3692 4.3692 0.0000
Ba Li
1 5
Direct
0.0000 0.0000 0.0000
0.1327 0.6224 0.6224
0.2500 0.2500 0.2500
0.6224 0.1327 0.6224
0.6224 0.6224 0.1327
0.6224 0.6224 0.6224
```

Properties
total DFT energy (no corrections)	-11.3	eV/cell
D(E_F)	0.868	states/eV/atom
excess energy over the best structure of this formula in the dataset	0.224	kcal/mol of atoms
ΔE_f	0.23	eV/f.u.

Entry 4:
Crystalline BaLi at its relaxed geometry. Source: Alexandria via LeMat-Bulk, functional PBE.

```
BaLi
1.0
10.0997 0.0000 0.0000
0.0000 10.0997 0.0000
0.0000 0.0000 10.0997
Ba Li
6 6
Direct
0.0000 0.2500 0.5000
0.0000 0.7500 0.5000
0.2500 0.5000 0.0000
0.5000 0.0000 0.2500
0.5000 0.0000 0.7500
0.7500 0.5000 0.0000
0.0000 0.5000 0.2500
0.0000 0.5000 0.7500
0.2500 0.0000 0.5000
0.5000 0.2500 0.0000
0.5000 0.7500 0.0000
0.7500 0.0000 0.5000
```

Properties
total DFT energy (no corrections)	-14.6	eV/cell
D(E_F)	1.469	states/eV/atom
excess energy over the best structure of this formula in the dataset	15.141	kcal/mol of atoms
ΔE_f	1.40	eV/f.u.

Entry 5:
Crystalline Ba3Li at its relaxed geometry. Source: Alexandria via LeMat-Bulk, functional PBE.

```
Ba3Li
1.0
11.3461 0.0000 0.0000
0.0000 14.0619 0.0000
0.0000 0.0000 5.4811
Ba Li
12 4
Direct
0.0000 0.1118 0.2500
0.0000 0.8882 0.7500
0.2055 0.3763 0.2500
0.2055 0.6237 0.7500
0.2945 0.1237 0.7500
0.2945 0.8763 0.2500
0.5000 0.3882 0.7500
0.5000 0.6118 0.2500
0.7055 0.1237 0.7500
0.7055 0.8763 0.2500
0.7945 0.3763 0.2500
0.7945 0.6237 0.7500
0.0000 0.2965 0.7500
0.0000 0.7035 0.2500
0.5000 0.2035 0.2500
0.5000 0.7965 0.7500
```

Properties
total DFT energy (no corrections)	-29.7	eV/cell
D(E_F)	1.145	states/eV/atom
ΔE_f	0.25	eV/f.u.

Entry 6:
Crystalline Ba5Li at its relaxed geometry. Source: Alexandria via LeMat-Bulk, functional PBE.

```
Ba5Li
1.0
7.5081 0.0000 0.0000
-3.7540 6.5022 0.0000
0.0000 0.0000 7.0523
Ba Li
5 1
Direct
0.0000 0.6768 0.0000
0.3232 0.3232 0.0000
0.3333 0.6667 0.5000
0.6667 0.3333 0.5000
0.6768 0.0000 0.0000
0.0000 0.0000 0.5000
```

Properties
total DFT energy (no corrections)	-11.0	eV/cell
D(E_F)	1.657	states/eV/atom
excess energy over the best structure of this formula in the dataset	1.391	kcal/mol of atoms
ΔE_f	0.53	eV/f.u.